Entry 1:
VASP calculation (PBE-GGA) on BaY2P after structural relaxation.

abc: 6.5525 6.5525 6.6963
angles: 60.75 60.75 33.53
Last column: nearest neighbours and their distance in Å.
Element x y z (fractional)
Y 0.0860 0.0860 0.9715  2 P 2.76
Y 0.2735 0.2735 0.2849  2 P 2.74
P 0.7029 0.7029 0.6257  4 Y 2.74-2.76
Ba 0.4377 0.4377 0.6178  3 P 3.35-3.48, 1 Y 3.73

formation enthalpy at 0 K = -533 meV/atom
symmetry = No. 8

Entry 2:
VASP calculation (PBE-GGA) on SrRe2Ni after structural relaxation.

abc: 4.6625 4.2348 4.2163
angles: 72.01 90.00 90.00
Last column: nearest neighbours and their distance in Å.
Element x y z (fractional)
Re 0.0000 0.5767 0.5761  1 Re 2.37, 2 Ni 2.62
Sr 0.5000 0.2500 0.2500  2 Ni 2.48
Re 0.0000 0.9233 0.9239  1 Re 2.37, 2 Ni 2.62
Ni 0.5000 0.7500 0.7500  2 Sr 2.48, 4 Re 2.62

energy relative to the lowest polymorph listed for this composition = 321 meV/atom
formation enthalpy at 0 K = 723 meV/atom
symmetry = No. 10

Entry 3:
VASP calculation (PBE-GGA) on CdHgMo2 after structural relaxation.

abc: 4.6593 4.6593 4.6593
angles: 60.00 60.00 60.00
Last column: nearest neighbours and their distance in Å.
Element x y z (fractional)
Mo 0.2500 0.2500 0.2500  4 Cd 2.85, 4 Hg 2.85
Cd 0.0000 0.0000 0.0000  8 Mo 2.85
Hg 0.5000 0.5000 0.5000  8 Mo 2.85
Mo 0.7500 0.7500 0.7500  4 Cd 2.85, 4 Hg 2.85

energy relative to the lowest polymorph listed for this composition = 536 meV/atom
formation enthalpy at 0 K = 847 meV/atom
symmetry = No. 225

Entry 4:
VASP calculation (PBE-GGA) on CaRhSeN2 after structural relaxation.

abc: 3.9352 3.9352 5.3763
angles: 90.00 90.00 90.00
Last column: nearest neighbours and their distance in Å.
Element x y z (fractional)
Ca 0.5000 0.5000 0.5000  4 Se 2.78
Rh 0.0000 0.0000 0.0000  4 N 1.97
Se 0.0000 0.0000 0.5000  2 Rh 2.69, 4 Ca 2.78
N 0.5000 0.0000 0.0000  2 Rh 1.97
N 0.0000 0.5000 0.0000  2 Rh 1.97

energy relative to the lowest polymorph listed for this composition = 0 meV/atom
formation energy without anion corrections = 0.231 eV per atom
symmetry = No. 123

Entry 5:
VASP calculation (PBE-GGA) on CuRhS2 after structural relaxation.

abc: 3.4722 3.4722 4.9514
angles: 90.00 90.00 90.00
Last column: nearest neighbours and their distance in Å.
Element x y z (fractional)
S 0.0000 0.0000 0.0000  4 Rh 2.46, 2 Cu 2.48
Rh 0.5000 0.5000 0.0000  6 S 2.46-2.48
Cu 0.0000 0.0000 0.5000  6 S 2.46-2.48
S 0.5000 0.5000 0.5000  4 Cu 2.46, 2 Rh 2.48

formation energy without anion corrections = -0.075 eV per atom
symmetry = No. 123

Entry 6:
VASP calculation (PBE-GGA) on CaCd11Ga after structural relaxation.

abc: 6.0072 7.6587 7.6570
angles: 81.46 66.90 67.75
Last column: nearest neighbours and their distance in Å.
Element x y z (fractional)
Cd 0.2902 0.2163 0.2130  1 Ga 2.89, 7 Cd 2.95-3.23
Cd 0.7098 0.7837 0.7870  1 Ga 2.89, 7 Cd 2.95-3.23
Ca 0.0000 0.0000 0.0000  18 Cd 3.51-3.83, 2 Ga 3.87
Cd 0.0000 0.5000 0.0000  8 Cd 2.95-3.07, 2 Ga 3.00
Cd 0.5031 0.2163 0.7870  1 Ga 2.89, 7 Cd 2.95-3.23
Cd 0.3533 0.6475 0.6500  7 Cd 2.97-3.25, 1 Ga 3.07
Ga 0.5000 0.5000 0.0000  10 Cd 2.89-3.07
Cd 0.9967 0.3525 0.6500  7 Cd 2.97-3.25, 1 Ga 3.07
Cd 0.0033 0.6475 0.3500  7 Cd 2.97-3.25, 1 Ga 3.07
Cd 0.4969 0.7837 0.2130  1 Ga 2.89, 7 Cd 2.95-3.23
Cd 0.6467 0.3525 0.3500  7 Cd 2.97-3.25, 1 Ga 3.07
Cd 0.5000 0.0000 0.5000  10 Cd 2.95-3.12
Cd 0.0000 0.0000 0.5000  10 Cd 2.95-3.12

formation enthalpy at 0 K = -80 meV/atom
symmetry = No. 12

Entry 7:
VASP calculation (PBE-GGA) on AsP2PbCl after structural relaxation.

abc: 4.9463 4.9463 6.0498
angles: 90.00 90.00 90.00
Last column: nearest neighbours and their distance in Å.
Element x y z (fractional)
Pb 0.5000 0.5000 0.5000  4 Cl 3.50, 8 P 3.91
P 0.5000 0.0000 0.0000  2 As 2.47
Cl 0.0000 0.0000 0.5000  2 As 3.02
As 0.0000 0.0000 0.0000  4 P 2.47
P 0.0000 0.5000 0.0000  2 As 2.47

energy relative to the lowest polymorph listed for this composition = 0 meV/atom
formation energy without anion corrections = 0.518 eV per atom
symmetry = No. 123

Entry 8:
VASP calculation (PBE-GGA) on TbGdZr after structural relaxation.

abc: 3.4007 3.4007 7.8042
angles: 102.58 102.58 90.00
Last column: nearest neighbours and their distance in Å.
Element x y z (fractional)
Zr 0.3324 0.3324 0.6648  4 Tb 3.32, 4 Gd 3.35, 4 Zr 3.40
Gd 0.9893 0.9893 0.9787  4 Zr 3.35, 4 Gd 3.40, 4 Tb 3.70
Tb 0.6783 0.6783 0.3566  4 Zr 3.32, 4 Tb 3.40, 4 Gd 3.70

energy relative to the lowest polymorph listed for this composition = 0 meV/atom
formation enthalpy at 0 K = 86 meV/atom
symmetry = No. 107

Entry 9:
VASP calculation (PBE-GGA) on BaCaIr2 after structural relaxation.

abc: 9.3494 9.3494 9.3494
angles: 21.09 21.09 21.09
Last column: nearest neighbours and their distance in Å.
Element x y z (fractional)
Ca 0.7500 0.7500 0.7500  6 Ir 2.92
Ir 0.4953 0.4953 0.4953  3 Ca 2.92, 3 Ba 3.12
Ir 0.0047 0.0047 0.0047  3 Ca 2.92, 3 Ba 3.12
Ba 0.2500 0.2500 0.2500  6 Ir 3.12, 6 Ba 3.42

energy relative to the lowest polymorph listed for this composition = 735 meV/atom
formation enthalpy at 0 K = 477 meV/atom
symmetry = No. 166

Entry 10:
VASP calculation (PBE-GGA) on MgAlI6 after structural relaxation.

abc: 7.3390 7.1737 7.9770
angles: 63.28 79.77 66.74
Last column: nearest neighbours and their distance in Å.
Element x y z (fractional)
Al 0.5000 0.5000 0.0000  6 I 2.74-2.90
I 0.2408 0.5831 0.2727  1 Al 2.74, 1 Mg 2.85
Mg 0.0000 0.0000 0.0000  4 I 2.85
I 0.6908 0.7846 0.0000  1 Al 2.90, 1 Mg 3.21
I 0.7592 0.1442 0.2727  1 Al 2.74, 1 Mg 2.85
I 0.7592 0.4169 0.7273  1 Al 2.74, 1 Mg 2.85
I 0.3092 0.2154 0.0000  1 Al 2.90, 1 Mg 3.21
I 0.2408 0.8558 0.7273  1 Al 2.74, 1 Mg 2.85

formation energy without anion corrections = -0.571 eV per atom
symmetry = No. 12

Entry 11:
VASP calculation (PBE-GGA) on Be2GeS2 after structural relaxation.

abc: 4.3434 4.3434 4.9362
angles: 63.90 63.90 90.00
Last column: nearest neighbours and their distance in Å.
Element x y z (fractional)
Be 0.3456 0.3456 0.3088  4 S 2.29, 1 Be 2.39
Ge 0.0000 0.0000 0.0000  2 Be 2.67, 8 S 2.91
S 0.2500 0.7500 0.5000  4 Be 2.29
S 0.7500 0.2500 0.5000  4 Be 2.29
Be 0.6544 0.6544 0.6912  4 S 2.29, 1 Be 2.39

energy relative to the lowest polymorph listed for this composition = 0 meV/atom
formation energy without anion corrections = 0.124 eV per atom
symmetry = No. 139

Entry 12:
VASP calculation (PBE-GGA) on Sm6Zn5Ag after structural relaxation.

abc: 5.1558 8.9423 8.9423
angles: 119.90 106.74 106.74
Last column: nearest neighbours and their distance in Å.
Element x y z (fractional)
Zn 0.5000 0.8314 0.1686  8 Sm 3.11-3.21
Sm 0.2526 0.0844 0.4209  7 Zn 3.11-3.17, 1 Ag 3.20
Zn 0.0000 0.3325 0.6675  8 Sm 3.15
Zn 0.0000 0.6675 0.3325  8 Sm 3.15
Zn 0.5000 0.5000 0.5000  8 Sm 3.14-3.17
Sm 0.7474 0.9156 0.5791  7 Zn 3.11-3.17, 1 Ag 3.20
Sm 0.7556 0.2555 0.2555  6 Zn 3.14-3.21, 2 Ag 3.18-3.19
Sm 0.2444 0.7445 0.7445  6 Zn 3.14-3.21, 2 Ag 3.18-3.19
Sm 0.2526 0.4209 0.0844  7 Zn 3.11-3.17, 1 Ag 3.20
Zn 0.5000 0.1686 0.8314  8 Sm 3.11-3.21
Sm 0.7474 0.5791 0.9156  7 Zn 3.11-3.17, 1 Ag 3.20
Ag 0.0000 0.0000 0.0000  8 Sm 3.18-3.20

formation enthalpy at 0 K = -313 meV/atom
symmetry = No. 71

Ordered V results: 34.14 19.79 17.88 16.65 14.92 23.07 29.60 28.62 23.17 43.08 14.58 24.36; unit A^3/atom.